# PBE-GGA Sr6Pb2BrN, relaxed
# ρ (g/cm³): 5.00
# Space-group type: Fm-3m
# Formation energy without anion corrections (eV per atom): -0.78
data_Sr6Pb2BrN
_cell_length_a 7.861
_cell_length_b 7.861
_cell_length_c 7.861
_cell_angle_alpha 60.00
_cell_angle_beta 60.00
_cell_angle_gamma 60.00
_space_group_name_H-M_alt 'P 1'
_space_group_IT_number 1
loop_
_space_group_symop_operation_xyz
'x,y,z'
loop_
_atom_site_label
_atom_site_type_symbol
_atom_site_fract_x
_atom_site_fract_y
_atom_site_fract_z
Br1 Br 0.500 0.500 0.500
N1 N 0.000 0.000 0.000
Sr1 Sr 0.229 0.771 0.771
Sr2 Sr 0.229 0.229 0.771
Sr3 Sr 0.229 0.771 0.229
Sr4 Sr 0.771 0.771 0.229
Sr5 Sr 0.771 0.229 0.229
Sr6 Sr 0.771 0.229 0.771
Pb1 Pb 0.750 0.750 0.750
Pb2 Pb 0.250 0.250 0.250